DFT (PBE-GGA) results for CsBa2Si2 after structural relaxation.

a b c (Å): 9.9747 9.9747 3.6725
angles (deg): 90.00 90.00 90.00
Last column: nearest neighbours and their distance in Å.
Element x y z (fractional)
Ba: 0.6314 0.1314 0.0000  6 Si 3.39-3.51, 3 Ba 3.67-3.71
Ba: 0.3686 0.8686 0.0000  6 Si 3.39-3.51, 3 Ba 3.67-3.71
Ba: 0.8686 0.6314 0.0000  6 Si 3.39-3.51, 3 Ba 3.67-3.71
Ba: 0.1314 0.3686 0.0000  6 Si 3.39-3.51, 3 Ba 3.67-3.71
Si: 0.1664 0.6664 0.5000  6 Ba 3.39-3.51, 2 Si 3.67
Si: 0.6664 0.8336 0.5000  6 Ba 3.39-3.51, 2 Si 3.67
Si: 0.8336 0.3336 0.5000  6 Ba 3.39-3.51, 2 Si 3.67
Si: 0.3336 0.1664 0.5000  6 Ba 3.39-3.51, 2 Si 3.67
Cs: 0.5000 0.5000 0.0000  2 Cs 3.67, 4 Ba 3.90
Cs: 0.0000 0.0000 0.0000  2 Cs 3.67, 4 Ba 3.90

Output
E_tot = -3.075 eV/atom
space-group type = P4/mbm
Fermi-level density of states = 1.18 states/eV per atom
energy above the lowest structure with this stoichiometry = 143 meV/atom
formation energy without anion corrections = 0.03 eV per atom